1.
! HgMoOs2 | Alexandria | GGA-PBEsol | optimized geometry; values from VASP
! * symmetry: Immm
&SYSTEM
  ibrav = 0, nat = 4, ntyp = 3
/
ATOMIC_SPECIES
Hg 200.59 Hg.upf
Mo 95.94 Mo.upf
Os 190.23 Os.upf
CELL_PARAMETERS angstrom
-1.412 2.366 4.780
1.412 -2.366 4.780
1.412 2.366 -4.780
ATOMIC_POSITIONS crystal
Hg 0.000 0.000 0.000
Mo 0.500 0.500 0.000
Os 0.275 0.775 0.500
Os 0.725 0.225 0.500

---

2.
! CdP2Os | Alexandria | GGA-PBEsol | optimized geometry; values from VASP
! * excess energy over the best structure of this formula in the dataset: 556.9 meV/atom
! * symmetry: F-43m
&SYSTEM
  ibrav = 0, nat = 4, ntyp = 3
/
ATOMIC_SPECIES
Cd 112.41 Cd.upf
P 30.97 P.upf
Os 190.23 Os.upf
CELL_PARAMETERS angstrom
0.000 3.122 3.122
3.122 0.000 3.122
3.122 3.122 0.000
ATOMIC_POSITIONS crystal
Cd 0.000 0.000 0.000
P 0.250 0.250 0.250
P 0.500 0.500 0.500
Os 0.750 0.750 0.750

---

It is found that the energy of formation from the pure elements values, taken in the order of the records, are 0.644; 0.881 eV/atom.
It is found that the magnetic moment values, taken in the order of the records, are 0.000; 0.000 μB/f.u..
It is found that the DOS at the Fermi energy values, taken in the order of the records, are 2.35; 2.26 states/eV/f.u..